(1)
First-principles (GGA-PBEsol) data for a relaxed structure of Fe3B7BrO13, as listed in the Alexandria database.

## Properties
* V: 444 Å³ per cell
* raw formation energy: -47.81 eV/f.u.
* VASP energy: -387.9 eV per cell

a b c (Å): 8.5636 8.5636 8.5636
angles (deg): 60.00 60.00 60.00
Each line ends with the local moment (μB).
Fractional positions:
O1 0.2420 0.3976 0.5636  0.05
B1 0.4201 0.4201 0.4201  0.01
B2 0.9201 0.9201 0.2398  0.01
O2 0.2420 0.5636 0.7967  0.05
B3 0.2398 0.9201 0.9201  0.01
Fe1 0.5000 0.0000 0.5000  3.58
B4 0.9201 0.9201 0.9201  0.01
O3 0.8976 0.7420 0.0636  0.05
Br1 0.2500 0.2500 0.2500  0.15
Fe2 0.5000 0.5000 0.0000  3.58
B5 0.7398 0.4201 0.4201  0.01
O4 0.2420 0.7967 0.3976  0.05
B6 0.7500 0.2500 0.2500  0.01
B7 0.2500 0.2500 0.7500  0.01
O5 0.2967 0.7420 0.8976  0.05
O6 0.7420 0.0636 0.8976  0.05
O7 0.5636 0.3976 0.7967  0.05
B8 0.2500 0.7500 0.7500  0.01
O8 0.2967 0.0636 0.7420  0.05
Fe3 0.0000 0.5000 0.0000  3.58
B9 0.7500 0.2500 0.7500  0.01
B10 0.2500 0.7500 0.2500  0.01
O9 0.7967 0.3976 0.2420  0.05
O10 0.7967 0.5636 0.3976  0.05
O11 0.7967 0.2420 0.5636  0.05
Br2 0.7500 0.7500 0.7500  0.15
O12 0.3976 0.2420 0.7967  0.05
Fe4 0.0000 0.0000 0.5000  3.58
Fe5 0.0000 0.5000 0.5000  3.58
Fe6 0.5000 0.0000 0.0000  3.58
O13 0.0636 0.2967 0.8976  0.05
O14 0.5636 0.7967 0.2420  0.05
O15 0.7420 0.8976 0.2967  0.05
O16 0.3976 0.5636 0.2420  0.05
O17 0.5000 0.5000 0.5000  0.01
O18 0.8976 0.0636 0.2967  0.05
O19 0.8976 0.2967 0.7420  0.05
O20 0.7420 0.2967 0.0636  0.05
O21 0.0636 0.7420 0.2967  0.05
O22 0.0000 0.0000 0.0000  0.01
O23 0.5636 0.2420 0.3976  0.05
B11 0.9201 0.2398 0.9201  0.01
B12 0.4201 0.4201 0.7398  0.01
O24 0.2967 0.8976 0.0636  0.05
B13 0.7500 0.7500 0.2500  0.01
O25 0.0636 0.8976 0.7420  0.05
O26 0.3976 0.7967 0.5636  0.05
B14 0.4201 0.7398 0.4201  0.01

(2)
First-principles (GGA-PBEsol) data for a relaxed structure of FeB2PBr, as listed in the Alexandria database.

## Properties
* V: 74 Å³ per cell
* raw formation energy: 11.20 eV/f.u.
* VASP energy: -19.5 eV per cell

a b c (Å): 4.0464 4.0464 4.5086
angles (deg): 90.00 90.00 90.00
Each line ends with the local moment (μB).
Fractional positions:
P1 0.5000 0.5000 0.5000  0.04
Fe1 0.0000 0.0000 0.5000  2.48
Br1 0.0000 0.0000 0.0000  -0.01
B1 0.5000 0.0000 0.0000  -0.01
B2 0.0000 0.5000 0.0000  -0.01

(3)
First-principles (GGA-PBEsol) data for a relaxed structure of FeBSe2Br, as listed in the Alexandria database.

## Properties
* V: 89 Å³ per cell
* raw formation energy: 4.50 eV/f.u.
* VASP energy: -21.1 eV per cell

a b c (Å): 4.3946 4.3946 4.5910
angles (deg): 90.00 90.00 90.00
Each line ends with the local moment (μB).
Fractional positions:
B1 0.0000 0.0000 0.0000  -0.01
Se1 0.0000 0.5000 0.0000  0.10
Br1 0.0000 0.0000 0.5000  0.11
Fe1 0.5000 0.5000 0.5000  3.40
Se2 0.5000 0.0000 0.0000  0.10

(4)
First-principles (GGA-PBEsol) data for a relaxed structure of FeB2WBr, as listed in the Alexandria database.

## Properties
* V: 86 Å³ per cell
* raw formation energy: 8.31 eV/f.u.
* VASP energy: -30.4 eV per cell

a b c (Å): 4.1306 4.1306 5.0509
angles (deg): 90.00 90.00 90.00
Each line ends with the local moment (μB).
Fractional positions:
B1 0.5000 0.0000 0.0000  0.05
Br1 0.5000 0.5000 0.5000  0.01
Fe1 0.0000 0.0000 0.5000  3.04
B2 0.0000 0.5000 0.0000  0.05
W1 0.0000 0.0000 0.0000  -0.07

(5)
First-principles (GGA-PBEsol) data for a relaxed structure of GeB2Br, as listed in the Alexandria database.

## Properties
* V: 55 Å³ per cell
* raw formation energy: 7.33 eV/f.u.
* VASP energy: -13.5 eV per cell

a b c (Å): 4.2662 4.2662 4.2662
angles (deg): 60.00 60.00 60.00
Fractional positions:
Br1 0.5000 0.5000 0.5000
B1 0.7500 0.7500 0.7500
Ge1 0.0000 0.0000 0.0000
B2 0.2500 0.2500 0.2500

(6)
First-principles (GGA-PBEsol) data for a relaxed structure of Zr2GeBBr, as listed in the Alexandria database.

## Properties
* V: 97 Å³ per cell
* raw formation energy: 2.15 eV/f.u.
* VASP energy: -29.9 eV per cell

a b c (Å): 3.6934 5.1231 5.1231
angles (deg): 90.00 90.00 90.00
Fractional positions:
Zr1 0.0000 0.5000 0.0000
B1 0.5000 0.0000 0.0000
Zr2 0.0000 0.0000 0.5000
Ge1 0.0000 0.0000 0.0000
Br1 0.5000 0.5000 0.5000

Question: Which of these has the lowest V?
Answer: GeB2Br